# NaSrLiEu | Alexandria | PBE | optimized geometry
# electronic total energy	-14.88	eV per cell
# formation energy	77	meV/atom
# mass density	2.824	g/cm3
# crystal system	cubic
# density of states at the Fermi level	14.53	states/eV/cell
# SG	F-43m
data_NaSrLiEu
_cell_length_a 6.075
_cell_length_b 6.075
_cell_length_c 6.075
_cell_angle_alpha 60.00
_cell_angle_beta 60.00
_cell_angle_gamma 60.00
_space_group_name_H-M_alt 'P 1'
_space_group_IT_number 1
_space_group_name_Hall 'P 1'
loop_
_atom_site_label
_atom_site_fract_x
_atom_site_fract_y
_atom_site_fract_z
Na1 0.500 0.500 0.500
Sr1 0.250 0.250 0.250
Li1 0.000 0.000 0.000
Eu1 0.750 0.750 0.750

=====

# Nd4SnP2 | Alexandria | PBE | optimized geometry
# electronic total energy	-83.66	eV per cell
# formation energy	-1134	meV/atom
# mass density	6.131	g/cm3
# crystal system	orthorhombic
# density of states at the Fermi level	7.84	states/eV/cell
# SG	Cmcm
data_Nd4SnP2
_cell_length_a 4.209
_cell_length_b 7.188
_cell_length_c 14.187
_cell_angle_alpha 90.00
_cell_angle_beta 90.00
_cell_angle_gamma 107.02
_space_group_name_H-M_alt 'P 1'
_space_group_IT_number 1
_space_group_name_Hall 'P 1'
loop_
_atom_site_label
_atom_site_fract_x
_atom_site_fract_y
_atom_site_fract_z
Sn1 0.608 0.215 0.750
Nd1 0.064 0.128 0.250
Nd2 0.767 0.535 0.385
P1 0.864 0.729 0.940
Nd3 0.233 0.465 0.615
Nd4 0.233 0.465 0.885
P2 0.136 0.271 0.060
Nd5 0.936 0.872 0.750
P3 0.136 0.271 0.440
Nd6 0.767 0.535 0.115
P4 0.864 0.729 0.560
Nd7 0.500 0.000 0.500
Sn2 0.392 0.785 0.250
Nd8 0.500 0.000 0.000

=====

# Tb3NdSm4Te8 | Alexandria | PBE | optimized geometry
# electronic total energy	-84.36	eV per cell
# mass density	7.599	g/cm3
# crystal system	trigonal
# density of states at the Fermi level	12.56	states/eV/cell
# E_form (uncorrected)	-1355.5	meV/atom
# SG	R-3m
data_Tb3NdSm4Te8
_cell_length_a 8.847
_cell_length_b 8.853
_cell_length_c 8.847
_cell_angle_alpha 119.97
_cell_angle_beta 120.00
_cell_angle_gamma 90.00
_space_group_name_H-M_alt 'P 1'
_space_group_IT_number 1
_space_group_name_Hall 'P 1'
loop_
_atom_site_label
_atom_site_fract_x
_atom_site_fract_y
_atom_site_fract_z
Sm1 0.500 0.000 0.000
Te1 0.252 0.256 0.504
Tb1 0.500 0.500 0.000
Te2 0.744 0.747 0.996
Te3 0.251 0.747 0.503
Te4 0.749 0.253 0.497
Te5 0.251 0.747 0.996
Te6 0.256 0.253 0.004
Nd1 0.000 0.500 0.000
Te7 0.749 0.253 0.004
Sm2 0.000 0.000 0.000
Tb2 0.500 0.500 0.500
Sm3 0.000 0.000 0.500
Tb3 0.000 0.500 0.500
Sm4 0.500 0.000 0.500
Te8 0.748 0.744 0.496

=====

# Mg2ScIn3 | Alexandria | PBE | optimized geometry
# electronic total energy	-37.76	eV per cell
# formation energy	-191	meV/atom
# mass density	5.227	g/cm3
# crystal system	triclinic
# density of states at the Fermi level	5.18	states/eV/cell
# SG	P-1
data_Mg2ScIn3
_cell_length_a 6.022
_cell_length_b 6.360
_cell_length_c 7.788
_cell_angle_alpha 88.70
_cell_angle_beta 75.05
_cell_angle_gamma 104.11
_space_group_name_H-M_alt 'P 1'
_space_group_IT_number 1
_space_group_name_Hall 'P 1'
loop_
_atom_site_label
_atom_site_fract_x
_atom_site_fract_y
_atom_site_fract_z
In1 0.927 0.477 0.315
In2 0.073 0.523 0.685
In3 0.068 0.011 0.689
Sc1 0.232 0.301 0.976
In4 0.932 0.989 0.311
In5 0.692 0.196 0.023
Mg1 0.625 0.650 0.644
Mg2 0.375 0.350 0.356
Mg3 0.609 0.151 0.640
Sc2 0.768 0.699 0.024
In6 0.308 0.804 0.977
Mg4 0.391 0.849 0.360